# PBE with a Hubbard U TaPWO2, optimized geometry
data_TaPWO2
_chemical_formula_sum 'Ta1 P1 W1 O2'
_symmetry_space_group_name_H-M 'P 4/m m m'
_symmetry_Int_Tables_number 123
_symmetry_space_group_name_Hall '-P 4 2'
_cell_length_a 3.787
_cell_length_b 3.787
_cell_length_c 6.177
_cell_angle_alpha 90.00
_cell_angle_beta 90.00
_cell_angle_gamma 90.00
loop_
_atom_site_label
_atom_site_type_symbol
_atom_site_fract_x
_atom_site_fract_y
_atom_site_fract_z
Ta1 Ta 0.000 0.000 0.000
P1 P 0.500 0.500 0.000
W1 W 0.500 0.500 0.500
O1 O 0.000 0.500 0.500
# Volume = 17.7 Å³/atom
# DOS(E_F) = 2.3 states/eV per cell
# DFT total energy = -0.5379 Ry per atom